1.
The following is a PBE calculation of an optimized crystal structure of LiMnSb, from the Alexandria database.

Summary:
- VASP energy (eV/atom) = -5.07

Cell lengths 3.700, 3.700, 8.151 Å; angles 90.00, 90.00, 90.00 degrees
Space group I4mm (No. 107)
Unique sites:
Li (0.000, 0.000, 0.000) [2 per cell]
Mn (0.000, 0.000, 0.670) [2 per cell]
Sb (0.000, 0.000, 0.324) [2 per cell]

2.
The following is a PBE calculation of an optimized crystal structure of AcPm6Nd3Dy2, from the Alexandria database.

Summary:
- VASP energy (eV/atom) = -4.65
- calculated formation energy (eV/atom) = 0.023

Cell lengths 6.351, 10.993, 12.192 Å; angles 90.00, 100.02, 90.00 degrees
Space group C2/m (No. 12)
Unique sites:
Ac (0.000, 0.000, 0.000) [2 per cell]
Pm (0.247, 0.500, 0.251) [4 per cell]
Pm (0.248, 0.332, 0.749) [8 per cell]
Nd (0.000, 0.167, 0.500) [4 per cell]
Nd (0.000, 0.500, 0.500) [2 per cell]
Dy (0.000, 0.333, 0.000) [4 per cell]

3.
The following is a PBE calculation of an optimized crystal structure of Ti3Re3Mo, from the Alexandria database.

Summary:
- VASP energy (eV/atom) = -10.11
- calculated formation energy (eV/atom) = 0.155

Cell lengths 8.623, 8.729, 6.024 Å; angles 90.00, 90.00, 90.00 degrees
Space group Cmmm (No. 65)
Unique sites:
Ti (0.000, 0.000, 0.248) [4 per cell]
Ti (0.250, 0.250, 0.248) [8 per cell]
Re (0.000, 0.248, 0.000) [4 per cell]
Re (0.193, 0.500, 0.000) [4 per cell]
Re (0.250, 0.000, 0.500) [4 per cell]
Mo (0.000, 0.307, 0.500) [4 per cell]